(1)
The following is a DFT calculation (PBE) of a relaxed Al2SeBr crystal.

a = 3.8328 Å, b = 3.9359 Å, c = 6.7124 Å
α = 90.00°, β = 90.00°, γ = 90.00°
Last column: nearest neighbours and their distance in Å.
Positions (direct):
1 Al 0.0000 0.0000 0.0000  4 Br 2.75
2 Al 0.5000 0.0000 0.5000  4 Se 2.75
3 Se 0.0000 0.5000 0.5000  4 Al 2.75
4 Br 0.5000 0.5000 0.0000  4 Al 2.75

Values from the calculation:
For the excess energy over the best structure of this formula in the dataset, the calculation gives 0.499 eV/atom. For the formation energy from raw total energies, the calculation gives -0.0306 eV/atom. The value obtained for the density of states at the Fermi level is 0.36 states/eV/atom. The symmetry is Pmmm, No. 47. As for the volume: 101 Å³/cell.

(2)
The following is a DFT calculation (PBE) of a relaxed Al2SeBr crystal.

a = 9.0168 Å, b = 9.0168 Å, c = 9.0168 Å
α = 23.52°, β = 23.52°, γ = 23.52°
Last column: nearest neighbours and their distance in Å.
Positions (direct):
1 Al 0.0000 0.0000 0.0000  3 Br 2.71, 3 Al 2.91
2 Al 0.2575 0.2575 0.2575  3 Se 2.47
3 Se 0.5430 0.5430 0.5430  3 Al 2.47
4 Br 0.7308 0.7308 0.7308  3 Al 2.71

Values from the calculation:
For the excess energy over the best structure of this formula in the dataset, the calculation gives 0.000 eV/atom. For the formation energy from raw total energies, the calculation gives -0.5300 eV/atom. The value obtained for the density of states at the Fermi level is 0.28 states/eV/atom. The symmetry is R3m, No. 160. As for the volume: 103 Å³/cell.

(3)
The following is a DFT calculation (PBE) of a relaxed Al2SeBr crystal.

a = 3.5085 Å, b = 3.5085 Å, c = 7.1297 Å
α = 90.00°, β = 90.00°, γ = 90.00°
Last column: nearest neighbours and their distance in Å.
Positions (direct):
1 Al 0.0000 0.0000 0.2101  4 Se 2.90, 1 Al 3.00, 4 Br 3.23
2 Al 0.0000 0.0000 0.7899  4 Se 2.90, 1 Al 3.00, 4 Br 3.23
3 Se 0.5000 0.5000 0.0000  8 Al 2.90
4 Br 0.5000 0.5000 0.5000  8 Al 3.23, 4 Br 3.51, 2 Se 3.56

Values from the calculation:
For the excess energy over the best structure of this formula in the dataset, the calculation gives 0.485 eV/atom. For the formation energy from raw total energies, the calculation gives -0.0447 eV/atom. The value obtained for the density of states at the Fermi level is 0.27 states/eV/atom. The symmetry is P4/mmm, No. 123. As for the volume: 88 Å³/cell.

(4)
The following is a DFT calculation (PBE) of a relaxed Al2Se2Br crystal.

a = 9.5909 Å, b = 9.5909 Å, c = 9.5909 Å
α = 158.48°, β = 158.48°, γ = 30.62°
Last column: nearest neighbours and their distance in Å.
Positions (direct):
1 Al 0.1349 0.1349 0.0000  1 Br 2.50, 4 Se 2.60
2 Al 0.8651 0.8651 0.0000  1 Br 2.50, 4 Se 2.60
3 Se 0.3338 0.3338 0.0000  4 Al 2.60
4 Se 0.6662 0.6662 0.0000  4 Al 2.60
5 Br 0.0000 0.0000 0.0000  2 Al 2.50

Values from the calculation:
For the excess energy over the best structure of this formula in the dataset, the calculation gives 0.014 eV/atom. For the formation energy from raw total energies, the calculation gives -0.6082 eV/atom. The value obtained for the density of states at the Fermi level is 0.27 states/eV/atom. The symmetry is I4/mmm, No. 139. As for the volume: 119 Å³/cell.

(5)
The following is a DFT calculation (PBE) of a relaxed Al2SeBr crystal.

a = 6.3906 Å, b = 6.3906 Å, c = 6.3906 Å
α = 109.70°, β = 109.70°, γ = 109.02°
Last column: nearest neighbours and their distance in Å.
Positions (direct):
1 Al 0.0979 0.1250 0.4729  2 Se 2.63, 2 Br 2.90
2 Al 0.3750 0.9021 0.0271  2 Se 2.63, 2 Br 2.90
3 Al 0.6521 0.6250 0.5271  2 Se 2.63, 2 Br 2.90
4 Al 0.8750 0.3479 0.9729  2 Se 2.63, 2 Br 2.90
5 Se 0.0000 0.0000 0.0000  4 Al 2.63
6 Se 0.7500 0.2500 0.5000  4 Al 2.63
7 Br 0.2500 0.7500 0.5000  4 Al 2.90
8 Br 0.5000 0.5000 0.0000  4 Al 2.90

Values from the calculation:
For the excess energy over the best structure of this formula in the dataset, the calculation gives 0.427 eV/atom. For the formation energy from raw total energies, the calculation gives -0.1031 eV/atom. The value obtained for the density of states at the Fermi level is 0.48 states/eV/atom. The symmetry is I-42d, No. 122. As for the volume: 201 Å³/cell.

(6)
The following is a DFT calculation (PBE) of a relaxed AlSeBr2 crystal.

a = 7.5879 Å, b = 7.5879 Å, c = 3.4157 Å
α = 90.00°, β = 90.00°, γ = 140.08°
Last column: nearest neighbours and their distance in Å.
Positions (direct):
1 Al 0.0000 0.0000 0.0000  4 Br 2.49, 2 Se 2.59
2 Se 0.5000 0.5000 0.0000  2 Al 2.59
3 Br 0.1266 0.8734 0.5000  2 Al 2.49
4 Br 0.8734 0.1266 0.5000  2 Al 2.49

Values from the calculation:
For the excess energy over the best structure of this formula in the dataset, the calculation gives 0.033 eV/atom. For the formation energy from raw total energies, the calculation gives -0.5842 eV/atom. The value obtained for the density of states at the Fermi level is 0.57 states/eV/atom. The symmetry is Cmmm, No. 65. As for the volume: 126 Å³/cell.

(7)
The following is a DFT calculation (PBE) of a relaxed AlSeBr2 crystal.

a = 3.7899 Å, b = 3.7899 Å, c = 10.7098 Å
α = 90.00°, β = 90.00°, γ = 125.56°
Last column: nearest neighbours and their distance in Å.
Positions (direct):
1 Al 0.0000 0.0000 0.0000  2 Se 2.35, 2 Br 2.55
2 Se 0.5000 0.5000 0.1488  2 Al 2.35
3 Br 0.0000 0.0000 0.4985  6 Br 3.47-3.79
4 Br 0.5000 0.5000 0.8258  2 Al 2.55

Values from the calculation:
For the excess energy over the best structure of this formula in the dataset, the calculation gives 0.380 eV/atom. For the formation energy from raw total energies, the calculation gives -0.2378 eV/atom. The value obtained for the density of states at the Fermi level is 0.54 states/eV/atom. The symmetry is Cmm2, No. 35. As for the volume: 125 Å³/cell.

(8)
The following is a DFT calculation (PBE) of a relaxed AlSeBr2 crystal.

a = 7.1664 Å, b = 7.1664 Å, c = 7.1664 Å
α = 153.82°, β = 133.48°, γ = 54.16°
Last column: nearest neighbours and their distance in Å.
Positions (direct):
1 Al 0.0000 0.0000 0.0000  4 Br 2.47
2 Se 0.5000 0.5000 0.0000  2 Se 3.25, 4 Al 3.26, 4 Br 3.39
3 Br 0.1462 0.6462 0.5000  2 Al 2.47
4 Br 0.8538 0.3538 0.5000  2 Al 2.47

Values from the calculation:
For the excess energy over the best structure of this formula in the dataset, the calculation gives 0.407 eV/atom. For the formation energy from raw total energies, the calculation gives -0.2102 eV/atom. The value obtained for the density of states at the Fermi level is 0.59 states/eV/atom. The symmetry is Immm, No. 71. As for the volume: 117 Å³/cell.

(9)
The following is a DFT calculation (PBE) of a relaxed Al2SeBr crystal.

a = 5.8453 Å, b = 5.8453 Å, c = 5.7957 Å
α = 103.12°, β = 103.12°, γ = 35.31°
Last column: nearest neighbours and their distance in Å.
Positions (direct):
1 Al 0.0000 0.0000 0.0000  2 Se 2.59, 2 Al 2.78
2 Al 0.6612 0.6612 0.8584  1 Br 2.45, 2 Se 2.56
3 Se 0.3295 0.3295 0.9944  4 Al 2.56-2.59
4 Br 0.6223 0.6223 0.4243  1 Al 2.45

Values from the calculation:
For the excess energy over the best structure of this formula in the dataset, the calculation gives 0.134 eV/atom. For the formation energy from raw total energies, the calculation gives -0.3961 eV/atom. The value obtained for the density of states at the Fermi level is 0.09 states/eV/atom. The symmetry is Cm, No. 8. As for the volume: 111 Å³/cell.

(10)
The following is a DFT calculation (PBE) of a relaxed AlSe3Br crystal.

a = 4.9391 Å, b = 4.9391 Å, c = 4.9391 Å
α = 90.00°, β = 90.00°, γ = 90.00°
Last column: nearest neighbours and their distance in Å.
Positions (direct):
1 Al 0.0000 0.0000 0.0000  6 Se 2.47
2 Se 0.0000 0.0000 0.5000  2 Al 2.47
3 Se 0.0000 0.5000 0.0000  2 Al 2.47
4 Se 0.5000 0.0000 0.0000  2 Al 2.47
5 Br 0.5000 0.5000 0.5000  12 Se 3.49

Values from the calculation:
For the excess energy over the best structure of this formula in the dataset, the calculation gives 0.000 eV/atom. For the formation energy from raw total energies, the calculation gives 0.2105 eV/atom. The value obtained for the density of states at the Fermi level is 1.03 states/eV/atom. The symmetry is Pm-3m, No. 221. As for the volume: 120 Å³/cell.

Which of these has the highest excess energy over the best structure of this formula in the dataset? number 1